(1)
Compound: HfTi2OsRu
Source: Alexandria via LeMat-Bulk
Functional: PBE
Structure: relaxed

a b c (Å): 4.682 4.682 4.536
angles (deg): 90.00 90.00 90.00
Fractional positions:
Hf: 0.000 0.000 0.000
Ti: 0.000 0.500 0.000
Ti: 0.500 0.000 0.000
Os: 0.500 0.500 0.500
Ru: 0.000 0.000 0.500

formation enthalpy at 0 K: 1.707 eV/atom
SG: P4/mmm
DOS at the Fermi energy: 7.2 states/eV/cell

(2)
Compound: B3AsO
Source: Alexandria via LeMat-Bulk
Functional: PBE
Structure: relaxed

a b c (Å): 4.077 4.077 4.077
angles (deg): 90.00 90.00 90.00
Fractional positions:
B: 0.000 0.000 0.500
B: 0.000 0.500 0.000
B: 0.500 0.000 0.000
As: 0.000 0.000 0.000
O: 0.500 0.500 0.500

offset from the most stable computed form: 440 meV per atom
SG: Pm-3m
DOS at the Fermi energy: 1.9 states/eV/cell
E_form (uncorrected): 2.1346 eV/atom

(3)
Compound: GaMo2AsSe
Source: Alexandria via LeMat-Bulk
Functional: PBE
Structure: relaxed

a b c (Å): 4.901 4.901 4.577
angles (deg): 90.00 90.00 90.00
Fractional positions:
Ga: 0.000 0.000 0.000
Mo: 0.000 0.500 0.000
Mo: 0.500 0.000 0.000
As: 0.500 0.500 0.500
Se: 0.000 0.000 0.500

SG: P4/mmm
DOS at the Fermi energy: 4.0 states/eV/cell
E_form (uncorrected): 1.4596 eV/atom

(4)
Compound: SrErAgRh
Source: Alexandria via LeMat-Bulk
Functional: PBE
Structure: relaxed

a b c (Å): 5.095 5.095 5.095
angles (deg): 60.00 60.00 60.00
Fractional positions:
Sr: 0.000 0.000 0.000
Er: 0.500 0.500 0.500
Ag: 0.750 0.750 0.750
Rh: 0.250 0.250 0.250

formation enthalpy at 0 K: -0.320 eV/atom
SG: F-43m
DOS at the Fermi energy: 2.5 states/eV/cell

(5)
Compound: LiLa2Ce3Te6
Source: Alexandria via LeMat-Bulk
Functional: PBE
Structure: relaxed

a b c (Å): 10.108 10.108 9.052
angles (deg): 103.67 103.67 25.68
Fractional positions:
Li: 0.000 0.000 0.000
La: 0.334 0.334 0.666
La: 0.666 0.666 0.334
Ce: 0.000 0.000 0.500
Ce: 0.331 0.331 0.166
Ce: 0.669 0.669 0.834
Te: 0.161 0.161 0.076
Te: 0.165 0.165 0.586
Te: 0.498 0.498 0.240
Te: 0.502 0.502 0.760
Te: 0.835 0.835 0.414
Te: 0.839 0.839 0.924

SG: C2/m
DOS at the Fermi energy: 23.7 states/eV/cell
E_form (uncorrected): -1.4005 eV/atom

(6)
Compound: MgBi2RuF
Source: Alexandria via LeMat-Bulk
Functional: PBE
Structure: relaxed

a b c (Å): 5.451 5.451 4.055
angles (deg): 90.00 90.00 90.00
Fractional positions:
Mg: 0.000 0.000 0.000
Bi: 0.000 0.500 0.500
Bi: 0.500 0.000 0.500
Ru: 0.500 0.500 0.500
F: 0.500 0.500 0.000

SG: P4/mmm
DOS at the Fermi energy: 5.3 states/eV/cell
E_form (uncorrected): -0.1514 eV/atom

(7)
Compound: Sb2IrPt
Source: Alexandria via LeMat-Bulk
Functional: PBE
Structure: relaxed

a b c (Å): 3.851 3.851 5.439
angles (deg): 90.00 90.00 90.00
Fractional positions:
Sb: 0.000 0.000 0.000
Sb: 0.500 0.500 0.399
Ir: 0.000 0.000 0.507
Pt: 0.500 0.500 0.890

offset from the most stable computed form: 36 meV per atom
SG: P4mm
DOS at the Fermi energy: 2.3 states/eV/cell
E_form (uncorrected): -0.0919 eV/atom

(8)
Compound: Nd2Y2Th
Source: Alexandria via LeMat-Bulk
Functional: PBE
Structure: relaxed

a b c (Å): 6.557 6.557 9.088
angles (deg): 107.66 107.66 97.96
Fractional positions:
Nd: 0.136 0.781 0.798
Nd: 0.219 0.864 0.202
Nd: 0.781 0.136 0.798
Nd: 0.864 0.219 0.202
Y: 0.217 0.217 0.626
Y: 0.346 0.346 0.092
Y: 0.654 0.654 0.908
Y: 0.783 0.783 0.374
Th: 0.334 0.666 0.500
Th: 0.666 0.334 0.500

formation enthalpy at 0 K: 0.138 eV/atom
offset from the most stable computed form: 84 meV per atom
SG: C2/m
DOS at the Fermi energy: 15.7 states/eV/cell